1.
PtWAu4 | PBE-GGA | optimized geometry

```
PtWAu4
1.0
0.000 3.795 3.795
3.795 0.000 3.795
3.795 3.795 0.000
Pt W Au
1 1 4
Direct
0.000 0.000 0.000
0.750 0.750 0.750
0.375 0.375 0.375
0.375 0.375 0.875
0.375 0.875 0.375
0.875 0.375 0.375
```

## Properties
* mass density: 17731 kg/m3
* E: -4.6330 eV/atom
* space-group type: F-43m (216)
* V: 109 Å³ per cell
* formation energy: 0.718 eV per atom

***

2.
MnRh3I | PBE-GGA | optimized geometry

```
MnRh3I
1.0
4.808 0.000 0.000
0.000 4.808 0.000
0.000 0.000 4.808
Mn Rh I
1 3 1
Direct
0.000 0.000 0.000
0.000 0.500 0.500
0.500 0.000 0.500
0.500 0.500 0.000
0.500 0.500 0.500
```

## Properties
* mass density: 7330 kg/m3
* E: -5.3960 eV/atom
* space-group type: Pm-3m (221)
* V: 111 Å³ per cell
* formation energy from raw total energies: 1.159 eV per atom
* polymorph energy (0 for the lowest one): 0.1600 eV per atom

***

3.
MgSnHg | PBE-GGA | optimized geometry

```
MgSnHg
1.0
6.803 0.000 0.000
0.000 4.138 0.000
0.000 0.000 10.385
Mg Sn Hg
4 4 4
Direct
0.117 0.250 0.244
0.383 0.750 0.744
0.617 0.250 0.256
0.883 0.750 0.756
0.146 0.250 0.928
0.354 0.750 0.428
0.646 0.250 0.572
0.854 0.750 0.072
0.118 0.250 0.609
0.382 0.750 0.109
0.618 0.250 0.891
0.882 0.750 0.391
```

## Properties
* mass density: 7807 kg/m3
* E: -2.0124 eV/atom
* space-group type: Pnma (62)
* V: 292 Å³ per cell
* formation energy: -0.046 eV per atom

***

4.
HfZr4Ti | PBE-GGA | optimized geometry

```
HfZr4Ti
1.0
-5.060 5.060 3.009
5.060 -5.060 3.009
5.060 5.060 -3.009
Hf Zr Ti
2 8 2
Direct
0.000 0.000 0.000
0.750 0.250 0.500
0.195 0.455 0.740
0.205 0.445 0.240
0.205 0.965 0.760
0.219 0.949 0.270
0.679 0.949 0.730
0.699 0.469 0.770
0.699 0.929 0.230
0.715 0.455 0.260
0.247 0.747 0.500
0.497 0.497 0.000
```

## Properties
* mass density: 6372 kg/m3
* E: -7.9521 eV/atom
* space-group type: I4_1md (109)
* V: 308 Å³ per cell
* formation energy: 0.721 eV per atom
* polymorph energy (0 for the lowest one): 0.5824 eV per atom

***

5.
TaCoHIr2 | PBE-GGA | optimized geometry

```
TaCoHIr2
1.0
3.935 0.000 0.000
0.000 3.935 0.000
0.000 0.000 3.824
Ta Co H Ir
1 1 1 2
Direct
0.000 0.000 0.000
0.500 0.500 0.000
0.500 0.500 0.500
0.000 0.500 0.500
0.500 0.000 0.500
```

## Properties
* mass density: 17532 kg/m3
* E: -8.3502 eV/atom
* space-group type: P4/mmm (123)
* V: 59 Å³ per cell
* polymorph energy (0 for the lowest one): 0.0000 eV per atom

***

6.
Nd4Cu3Ag | PBE-GGA | optimized geometry

```
Nd4Cu3Ag
1.0
3.956 0.000 0.000
0.000 4.663 0.000
0.000 0.000 10.720
Nd Cu Ag
4 3 1
Direct
0.000 0.000 0.000
0.000 0.500 0.274
0.500 0.000 0.483
0.500 0.500 0.779
0.000 0.500 0.561
0.500 0.000 0.200
0.500 0.500 0.069
0.000 0.000 0.704
```

## Properties
* mass density: 7352 kg/m3
* E: -4.4585 eV/atom
* space-group type: Pmm2 (25)
* V: 198 Å³ per cell
* formation energy: -0.182 eV per atom

***

7.
Zn2SnSe4 | PBE-GGA | optimized geometry

```
Zn2SnSe4
1.0
6.257 0.000 0.000
0.000 6.257 0.000
0.000 0.000 5.323
Zn Sn Se
2 1 4
Direct
0.000 0.500 0.000
0.500 0.000 0.000
0.000 0.000 0.000
0.246 0.246 0.249
0.246 0.754 0.751
0.754 0.246 0.751
0.754 0.754 0.249
```

## Properties
* mass density: 4505 kg/m3
* E: -3.3254 eV/atom
* space-group type: P-42m (111)
* V: 208 Å³ per cell
* formation energy from raw total energies: -0.398 eV per atom

***

8.
RbAlGe2Se | PBE-GGA | optimized geometry

```
RbAlGe2Se
1.0
5.436 0.000 0.000
0.000 5.436 0.000
0.000 0.000 5.284
Rb Al Ge Se
1 1 2 1
Direct
0.000 0.000 0.000
0.500 0.500 0.000
0.000 0.500 0.500
0.500 0.000 0.500
0.500 0.500 0.500
```

## Properties
* mass density: 3581 kg/m3
* E: -3.0525 eV/atom
* space-group type: P4/mmm (123)
* V: 156 Å³ per cell
* formation energy from raw total energies: 0.433 eV per atom